No. 1
Crystalline CaTlSi2 at its relaxed geometry. Source: the Alexandria database, functional PBE.

abc: 11.0247 3.7204 4.9918
angles: 90.00 112.81 90.00
Atoms (fractional coordinates):
Ca: 0.0000 0.0000 0.0000
Ca: 0.5000 0.5000 0.0000
Tl: 0.2045 0.0000 0.6865
Tl: 0.7045 0.5000 0.6865
Si: 0.2625 0.5000 0.2240
Si: 0.4060 0.0000 0.4301
Si: 0.7625 0.0000 0.2240
Si: 0.9060 0.5000 0.4301

Output
ΔE_f (raw), meV per atom: -77
Electronic total energy, eV per atom: -3.881
Density of states at the Fermi level, states/eV/atom: 0.362
Space group: Cm
Volume, Å³ per cell: 188.7
Excess energy over the best structure of this formula in the dataset, meV/atom: 26

No. 2
Crystalline TbBeCo at its relaxed geometry. Source: the Alexandria database, functional PBE.

abc: 6.7362 4.0430 6.9128
angles: 90.00 90.00 90.00
Atoms (fractional coordinates):
Tb: 0.0105 0.2500 0.1963
Tb: 0.4895 0.7500 0.6963
Tb: 0.5105 0.2500 0.3037
Tb: 0.9895 0.7500 0.8037
Be: 0.1792 0.2500 0.5843
Be: 0.3208 0.7500 0.0843
Be: 0.6792 0.2500 0.9157
Be: 0.8208 0.7500 0.4157
Co: 0.1586 0.7500 0.4374
Co: 0.3414 0.2500 0.9374
Co: 0.6586 0.7500 0.0626
Co: 0.8414 0.2500 0.5626

Output
Electronic total energy, eV per atom: -5.303
Density of states at the Fermi level, states/eV/atom: 0.763
Space group: Pnma
Energy of formation, meV per atom: -149
Volume, Å³ per cell: 188.3
Excess energy over the best structure of this formula in the dataset, meV/atom: 70

No. 3
Crystalline Tc2Ir4Os3 at its relaxed geometry. Source: the Alexandria database, functional PBE.

abc: 4.7824 7.0370 8.4975
angles: 71.45 73.77 89.95
Atoms (fractional coordinates):
Tc: 0.1115 0.3616 0.1114
Tc: 0.3330 0.9154 0.6655
Tc: 0.6670 0.0846 0.3345
Tc: 0.8885 0.6384 0.8886
Ir: 0.9995 0.4184 0.6669
Ir: 0.0005 0.5816 0.3331
Ir: 0.2214 0.9756 0.2206
Ir: 0.3329 0.7498 0.9996
Ir: 0.4460 0.6976 0.4425
Ir: 0.5540 0.3024 0.5575
Ir: 0.6671 0.2502 0.0004
Ir: 0.7786 0.0244 0.7794
Os: 0.1117 0.1923 0.4432
Os: 0.2197 0.1396 0.8892
Os: 0.4436 0.5305 0.7780
Os: 0.5564 0.4695 0.2220
Os: 0.7803 0.8604 0.1108
Os: 0.8883 0.8077 0.5568

Output
Electronic total energy, eV per atom: -10.085
Density of states at the Fermi level, states/eV/atom: 0.817
Space group: P-1
Energy of formation, meV per atom: -100
Volume, Å³ per cell: 259.1

No. 4
Crystalline Li8TmSe6 at its relaxed geometry. Source: the Alexandria database, functional PBE.

abc: 7.8110 7.8110 7.8110
angles: 54.87 54.87 54.87
Atoms (fractional coordinates):
Li: 0.0328 0.3839 0.7187
Li: 0.1651 0.1651 0.1651
Li: 0.2813 0.9672 0.6161
Li: 0.3839 0.7187 0.0328
Li: 0.6161 0.2813 0.9672
Li: 0.7187 0.0328 0.3839
Li: 0.8349 0.8349 0.8349
Li: 0.9672 0.6161 0.2813
Tm: 0.5000 0.5000 0.5000
Se: 0.0961 0.7483 0.4164
Se: 0.2517 0.5836 0.9039
Se: 0.4164 0.0961 0.7483
Se: 0.5836 0.9039 0.2517
Se: 0.7483 0.4164 0.0961
Se: 0.9039 0.2517 0.5836

Output
ΔE_f (raw), meV per atom: -1266
Electronic total energy, eV per atom: -3.978
Density of states at the Fermi level, states/eV/atom: 0.571
Space group: R-3
Volume, Å³ per cell: 296.7

No. 5
Crystalline LiPmLuHg at its relaxed geometry. Source: the Alexandria database, functional PBE.

abc: 7.4151 7.4151 7.4151
angles: 90.00 90.00 90.00
Atoms (fractional coordinates):
Li: 0.0000 0.0000 0.0000
Li: 0.0000 0.5000 0.5000
Li: 0.5000 0.0000 0.5000
Li: 0.5000 0.5000 0.0000
Pm: 0.2500 0.2500 0.2500
Pm: 0.2500 0.7500 0.7500
Pm: 0.7500 0.2500 0.7500
Pm: 0.7500 0.7500 0.2500
Lu: 0.2500 0.2500 0.7500
Lu: 0.2500 0.7500 0.2500
Lu: 0.7500 0.2500 0.2500
Lu: 0.7500 0.7500 0.7500
Hg: 0.0000 0.0000 0.5000
Hg: 0.0000 0.5000 0.0000
Hg: 0.5000 0.0000 0.0000
Hg: 0.5000 0.5000 0.5000

Output
Electronic total energy, eV per atom: -3.073
Density of states at the Fermi level, states/eV/atom: 1.224
Space group: F-43m
Energy of formation, meV per atom: -201
Volume, Å³ per cell: 407.7

No. 6
Crystalline Pu5Pt4Rh at its relaxed geometry. Source: the Alexandria database, functional PBE.

abc: 3.4997 3.4997 17.3852
angles: 90.00 90.00 90.00
Atoms (fractional coordinates):
Pu: 0.0000 0.0000 0.0000
Pu: 0.0000 0.0000 0.2011
Pu: 0.0000 0.0000 0.4042
Pu: 0.0000 0.0000 0.5958
Pu: 0.0000 0.0000 0.7989
Pt: 0.5000 0.5000 0.1011
Pt: 0.5000 0.5000 0.3042
Pt: 0.5000 0.5000 0.6958
Pt: 0.5000 0.5000 0.8989
Rh: 0.5000 0.5000 0.5000

Output
Electronic total energy, eV per atom: -10.973
Density of states at the Fermi level, states/eV/atom: 4.834
Space group: P4/mmm
Energy of formation, meV per atom: -655
Volume, Å³ per cell: 212.9

No. 7
Crystalline BaNiSe2 at its relaxed geometry. Source: the Alexandria database, functional PBE.

abc: 4.2606 4.2606 10.8333
angles: 90.00 90.00 90.00
Atoms (fractional coordinates):
Ba: 0.0000 0.0000 0.0000
Ba: 0.5000 0.5000 0.5000
Ni: 0.0000 0.5000 0.7500
Ni: 0.5000 0.0000 0.2500
Se: 0.0000 0.0000 0.3437
Se: 0.0000 0.0000 0.6563
Se: 0.5000 0.5000 0.1563
Se: 0.5000 0.5000 0.8437

Output
ΔE_f (raw), meV per atom: -1029
Electronic total energy, eV per atom: -4.698
Density of states at the Fermi level, states/eV/atom: 0.355
Space group: I-4m2
Volume, Å³ per cell: 196.7

No. 8
Crystalline CaZn2AgAu at its relaxed geometry. Source: the Alexandria database, functional PBE.

abc: 3.9281 4.2416 12.3036
angles: 90.00 90.00 90.00
Atoms (fractional coordinates):
Ca: 0.0000 0.0000 0.0000
Ca: 0.5000 0.5000 0.5000
Zn: 0.0000 0.0000 0.6133
Zn: 0.0000 0.5000 0.2628
Zn: 0.5000 0.0000 0.7628
Zn: 0.5000 0.5000 0.1133
Ag: 0.0000 0.5000 0.7378
Ag: 0.5000 0.0000 0.2378
Au: 0.0000 0.0000 0.4053
Au: 0.5000 0.5000 0.9053

Output
Electronic total energy, eV per atom: -2.471
Density of states at the Fermi level, states/eV/atom: 0.465
Space group: Imm2
Energy of formation, meV per atom: -335
Volume, Å³ per cell: 205.0

No. 9
Crystalline PrErMg17 at its relaxed geometry. Source: the Alexandria database, functional PBE.

abc: 7.7968 7.7968 7.7968
angles: 82.14 82.14 82.14
Atoms (fractional coordinates):
Pr: 0.0000 0.0000 0.0000
Er: 0.3413 0.3413 0.3413
Mg: 0.0243 0.0243 0.5050
Mg: 0.0243 0.5050 0.0243
Mg: 0.1664 0.6731 0.6731
Mg: 0.3179 0.3179 0.8251
Mg: 0.3179 0.8251 0.3179
Mg: 0.3680 0.6671 0.9732
Mg: 0.3680 0.9732 0.6671
Mg: 0.5050 0.0243 0.0243
Mg: 0.5684 0.5684 0.5684
Mg: 0.6671 0.3680 0.9732
Mg: 0.6671 0.9732 0.3680
Mg: 0.6731 0.1664 0.6731
Mg: 0.6731 0.6731 0.1664
Mg: 0.7670 0.7670 0.7670
Mg: 0.8251 0.3179 0.3179
Mg: 0.9732 0.3680 0.6671
Mg: 0.9732 0.6671 0.3680

Output
Electronic total energy, eV per atom: -1.949
Density of states at the Fermi level, states/eV/atom: 0.443
Space group: R3m
Energy of formation, meV per atom: -31
Volume, Å³ per cell: 461.7

No. 10
Crystalline AcPm12Si7 at its relaxed geometry. Source: the Alexandria database, functional PBE.

abc: 9.1808 9.1808 9.1808
angles: 110.74 110.74 110.74
Atoms (fractional coordinates):
Ac: 0.0000 0.0000 0.0000
Pm: 0.0000 0.2671 0.7329
Pm: 0.0000 0.7329 0.2671
Pm: 0.1671 0.4693 0.4693
Pm: 0.2671 0.0000 0.7329
Pm: 0.2671 0.7329 0.0000
Pm: 0.4693 0.1671 0.4693
Pm: 0.4693 0.4693 0.1671
Pm: 0.5307 0.5307 0.8329
Pm: 0.5307 0.8329 0.5307
Pm: 0.7329 0.0000 0.2671
Pm: 0.7329 0.2671 0.0000
Pm: 0.8329 0.5307 0.5307
Si: 0.1339 0.1339 0.4728
Si: 0.1339 0.4728 0.1339
Si: 0.4728 0.1339 0.1339
Si: 0.5000 0.5000 0.5000
Si: 0.5272 0.8661 0.8661
Si: 0.8661 0.5272 0.8661
Si: 0.8661 0.8661 0.5272

Output
ΔE_f (raw), meV per atom: -409
Electronic total energy, eV per atom: -5.363
Density of states at the Fermi level, states/eV/atom: 1.159
Space group: R-3m
Volume, Å³ per cell: 566.1

No. 11
Crystalline ReI2BrN at its relaxed geometry. Source: the Alexandria database, functional PBE.

abc: 5.6411 5.6411 3.7841
angles: 90.00 90.00 90.00
Atoms (fractional coordinates):
Re: 0.0000 0.0000 0.0000
I: 0.0000 0.5000 0.0000
I: 0.5000 0.0000 0.0000
Br: 0.5000 0.5000 0.5000
N: 0.0000 0.0000 0.5000

Output
ΔE_f (raw), meV per atom: 457
Electronic total energy, eV per atom: -4.653
Density of states at the Fermi level, states/eV/atom: 0.684
Space group: P4/mmm
Volume, Å³ per cell: 120.4
Excess energy over the best structure of this formula in the dataset, meV/atom: 0